# GGA-PBE PrMgZn3, relaxed
# ΔE_f, eV per atom: -0.232
data_PrMgZn3
_chemical_formula_sum 'Pr4 Mg4 Zn12'
_cell_length_a 9.0644
_cell_length_b 4.3936
_cell_length_c 10.4765
_cell_angle_alpha 90.00
_cell_angle_beta 90.00
_cell_angle_gamma 90.00
_symmetry_space_group_name_H-M 'P n m a'
_symmetry_Int_Tables_number 62
_symmetry_space_group_name_Hall '-P 2ac 2n'
loop_
_atom_site_label
_atom_site_type_symbol
_atom_site_fract_x
_atom_site_fract_y
_atom_site_fract_z
Pr1 Pr 0.1711 0.2500 0.0089
Mg1 Mg 0.0622 0.2500 0.3987
Zn1 Zn 0.0913 0.7500 0.2160
Zn2 Zn 0.1350 0.7500 0.7996
Zn3 Zn 0.1391 0.2500 0.6539


# GGA-PBE Pr2MgZn, relaxed
# Relative energy among the computed polymorphs, eV/f.u.: 0.000
# ΔE_f, eV per atom: -0.208
data_Pr2MgZn
_chemical_formula_sum 'Pr2 Mg1 Zn1'
_cell_length_a 3.7713
_cell_length_b 3.7713
_cell_length_c 7.8058
_cell_angle_alpha 90.00
_cell_angle_beta 90.00
_cell_angle_gamma 90.00
_symmetry_space_group_name_H-M 'P 4/m m m'
_symmetry_Int_Tables_number 123
_symmetry_space_group_name_Hall '-P 4 2'
loop_
_atom_site_label
_atom_site_type_symbol
_atom_site_fract_x
_atom_site_fract_y
_atom_site_fract_z
Pr1 Pr 0.0000 0.0000 0.2268
Mg1 Mg 0.5000 0.5000 0.5000
Zn1 Zn 0.5000 0.5000 0.0000


# GGA-PBE PrMgZn, relaxed
# ΔE_f, eV per atom: -0.143
data_PrMgZn
_chemical_formula_sum 'Pr2 Mg2 Zn2'
_cell_length_a 3.4167
_cell_length_b 3.4167
_cell_length_c 12.5448
_cell_angle_alpha 90.00
_cell_angle_beta 90.00
_cell_angle_gamma 90.00
_symmetry_space_group_name_H-M 'I 4 m m'
_symmetry_Int_Tables_number 107
_symmetry_space_group_name_Hall 'I 4 -2'
loop_
_atom_site_label
_atom_site_type_symbol
_atom_site_fract_x
_atom_site_fract_y
_atom_site_fract_z
Pr1 Pr 0.0000 0.0000 0.0000
Mg1 Mg 0.0000 0.0000 0.7064
Zn1 Zn 0.0000 0.0000 0.3338


# GGA-PBE Pr6Mg2Zn, relaxed
# ΔE_f, eV per atom: 0.020
data_Pr6Mg2Zn
_chemical_formula_sum 'Pr12 Mg4 Zn2'
_cell_length_a 6.6474
_cell_length_b 9.7458
_cell_length_c 10.0722
_cell_angle_alpha 90.00
_cell_angle_beta 116.99
_cell_angle_gamma 90.00
_symmetry_space_group_name_H-M 'P 1 21/c 1'
_symmetry_Int_Tables_number 14
_symmetry_space_group_name_Hall '-P 2ybc'
loop_
_atom_site_label
_atom_site_type_symbol
_atom_site_fract_x
_atom_site_fract_y
_atom_site_fract_z
Pr1 Pr 0.0783 0.0333 0.2060
Pr2 Pr 0.1451 0.6906 0.0454
Pr3 Pr 0.4140 0.1761 0.0218
Mg1 Mg 0.3844 0.0849 0.7196
Zn1 Zn 0.5000 0.0000 0.5000